[1]
{"formula": "Sr4PmSe5", "functional": "PBE-GGA", "state": "relaxed", "cell": [[-2.191, 2.191, 15.567], [2.191, -2.191, 15.567], [2.191, 2.191, -15.567]], "species": ["Sr", "Sr", "Sr", "Sr", "Pm", "Se", "Se", "Se", "Se", "Se"], "fractional_positions": [[0.098, 0.098, 0.000], [0.301, 0.301, 0.000], [0.699, 0.699, 0.000], [0.902, 0.902, 0.000], [0.500, 0.500, 0.000], [0.000, 0.000, 0.000], [0.199, 0.199, 0.000], [0.403, 0.403, 0.000], [0.597, 0.597, 0.000], [0.801, 0.801, 0.000]], "e_tot_ev_per_cell": -48.873, "formation_energy_uncorrected_ev_per_atom": -2.00, "sg": "I4/mmm, No. 139", "density_g_cm3": 4.94}

---

[2]
{"formula": "SrPmSe2", "functional": "PBE-GGA", "state": "relaxed", "cell": [[2.100, 1.213, 7.496], [-2.100, 1.213, 7.496], [0.000, -2.425, 7.496]], "species": ["Sr", "Pm", "Se", "Se"], "fractional_positions": [[0.000, 0.000, 0.000], [0.174, 0.174, 0.174], [0.583, 0.583, 0.583], [0.759, 0.759, 0.759]], "e_tot_ev_per_cell": -20.764, "formation_energy_uncorrected_ev_per_atom": -1.84, "sg": "R3m, No. 160", "e_above_lowest_polymorph_mev_per_atom": 78, "density_g_cm3": 5.66}

---

[3]
{"formula": "SrPm5Se8", "functional": "PBE-GGA", "state": "relaxed", "cell": [[-4.475, 4.475, 4.484], [4.475, -4.475, 4.484], [4.475, 4.475, -4.484]], "species": ["Sr", "Pm", "Pm", "Pm", "Pm", "Pm", "Se", "Se", "Se", "Se", "Se", "Se", "Se", "Se"], "fractional_positions": [[0.000, 0.000, 0.000], [0.122, 0.495, 0.870], [0.250, 0.750, 0.500], [0.505, 0.375, 0.627], [0.625, 0.252, 0.130], [0.748, 0.878, 0.373], [0.025, 0.278, 0.405], [0.234, 0.128, 0.747], [0.380, 0.975, 0.253], [0.381, 0.487, 0.253], [0.513, 0.766, 0.894], [0.722, 0.127, 0.747], [0.872, 0.619, 0.106], [0.873, 0.620, 0.595]], "e_tot_ev_per_cell": -79.800, "formation_energy_uncorrected_ev_per_atom": -1.89, "sg": "I-4, No. 82", "density_g_cm3": 6.68}